(1)
First-principles (GGA-PBE) data for Pm3ZnIr after structural relaxation, as listed in Alexandria.

Summary:
Formation energy   -0.43 eV per atom

Cell: 3.959 7.090 9.821 Å, 80.09 90.00 90.00°
Sites, in units of the cell vectors:
Pm1 0.250 0.710 0.528
Pm2 0.250 0.215 0.805
Pm3 0.250 0.680 0.898
Pm4 0.750 0.290 0.472
Pm5 0.750 0.320 0.102
Pm6 0.750 0.785 0.195
Zn1 0.250 0.084 0.297
Zn2 0.750 0.916 0.703
Ir1 0.750 0.513 0.723
Ir2 0.250 0.487 0.277

---

(2)
First-principles (GGA-PBE) data for AsIr2Pb after structural relaxation, as listed in Alexandria.

Summary:
Formation energy   0.49 eV per atom

Cell: 4.374 4.374 3.687 Å, 90.00 90.00 90.00°
Sites, in units of the cell vectors:
Pb1 0.500 0.000 0.500
As1 0.000 0.500 0.500
Ir1 0.000 0.000 0.000
Ir2 0.500 0.500 0.000

---

(3)
First-principles (GGA-PBE) data for Tl2CoMo after structural relaxation, as listed in Alexandria.

Summary:
Formation energy   1.04 eV per atom

Cell: 7.423 7.423 6.004 Å, 51.82 51.82 90.00°
Last column: magnetic moment on the atom in μB.
Sites, in units of the cell vectors:
Tl1 0.599 0.125 0.250  -0.04
Tl2 0.151 0.625 0.250  -0.04
Tl3 0.375 0.401 0.750  -0.04
Tl4 0.875 0.849 0.750  -0.04
Co1 0.500 0.500 0.000  1.50
Co2 0.250 0.750 0.500  1.48
Mo1 0.000 0.000 0.000  1.41
Mo2 0.750 0.250 0.500  1.41

---

(4)
First-principles (GGA-PBE) data for Sr2PrCd6 after structural relaxation, as listed in Alexandria.

Summary:
Formation energy   -0.32 eV per atom

Cell: 3.696 8.910 8.910 Å, 120.00 90.00 90.00°
Sites, in units of the cell vectors:
Sr1 0.000 0.333 0.667
Sr2 0.000 0.667 0.333
Pr1 0.000 0.000 0.000
Cd1 0.500 0.332 0.332
Cd2 0.500 0.668 0.668
Cd3 0.500 0.000 0.668
Cd4 0.500 0.668 0.000
Cd5 0.500 0.332 0.000
Cd6 0.500 0.000 0.332

---

(5)
First-principles (GGA-PBE) data for CaZr2SnAu after structural relaxation, as listed in Alexandria.

Summary:
Formation energy   1.17 eV per atom

Cell: 5.188 4.983 5.188 Å, 90.00 90.00 90.00°
Sites, in units of the cell vectors:
Ca1 0.000 0.000 0.000
Au1 0.000 0.500 0.000
Sn1 0.500 0.500 0.500
Zr1 0.000 0.000 0.500
Zr2 0.500 0.000 0.000

---

(6)
First-principles (GGA-PBE) data for AlRe2Ir after structural relaxation, as listed in Alexandria.

Summary:
Formation energy   0.08 eV per atom

Cell: 4.618 4.618 2.769 Å, 90.00 90.00 90.00°
Sites, in units of the cell vectors:
Re1 0.000 0.000 0.000
Re2 0.500 0.500 0.000
Ir1 0.000 0.500 0.500
Al1 0.500 0.000 0.500

---

(7)
First-principles (GGA-PBE) data for Zr2AlBi after structural relaxation, as listed in Alexandria.

Summary:
Formation energy   -0.08 eV per atom

Cell: 5.020 5.020 5.020 Å, 60.00 60.00 60.00°
Sites, in units of the cell vectors:
Bi1 0.500 0.500 0.500
Zr1 0.250 0.250 0.250
Zr2 0.750 0.750 0.750
Al1 0.000 0.000 0.000

---

(8)
First-principles (GGA-PBE) data for PmY3N4 after structural relaxation, as listed in Alexandria.

Summary:
Raw total energy   -140.78 eV/cell

Cell: 6.085 6.086 7.031 Å, 90.00 90.00 109.47°
Sites, in units of the cell vectors:
Y1 0.750 0.000 0.376
Y2 0.250 0.000 0.624
Y3 0.750 0.500 0.624
Y4 0.750 0.500 0.127
Y5 0.250 0.500 0.376
Y6 0.250 0.500 0.873
N1 0.004 0.252 0.622
N2 0.499 0.256 0.871
N3 0.504 0.252 0.378
N4 0.999 0.256 0.129
N5 0.001 0.744 0.871
N6 0.496 0.748 0.622
N7 0.501 0.744 0.129
N8 0.996 0.748 0.378
Pm1 0.750 0.000 0.874
Pm2 0.250 0.000 0.126

---

(9)
First-principles (GGA-PBE) data for ZrTcPb2 after structural relaxation, as listed in Alexandria.

Summary:
Formation energy   0.39 eV per atom

Cell: 9.427 9.427 9.427 Å, 20.31 20.31 20.31°
Sites, in units of the cell vectors:
Pb1 0.992 0.992 0.992
Pb2 0.508 0.508 0.508
Tc1 0.250 0.250 0.250
Zr1 0.750 0.750 0.750

---

(10)
First-principles (GGA-PBE) data for CsCl4 after structural relaxation, as listed in Alexandria.

Summary:
Raw total energy   -48.34 eV/cell

Cell: 5.063 13.025 13.025 Å, 90.00 90.00 90.00°
Sites, in units of the cell vectors:
Cs1 0.000 0.206 0.706
Cs2 0.000 0.706 0.794
Cs3 0.000 0.294 0.206
Cs4 0.000 0.794 0.294
Cl1 0.500 0.891 0.609
Cl2 0.500 0.609 0.109
Cl3 0.500 0.391 0.891
Cl4 0.500 0.109 0.391
Cl5 0.500 0.984 0.266
Cl6 0.500 0.266 0.016
Cl7 0.500 0.734 0.984
Cl8 0.500 0.016 0.734
Cl9 0.500 0.516 0.766
Cl10 0.500 0.484 0.234
Cl11 0.500 0.766 0.484
Cl12 0.500 0.234 0.516
Cl13 0.304 0.000 0.000
Cl14 0.696 0.500 0.500
Cl15 0.696 0.000 0.000
Cl16 0.304 0.500 0.500

---

(11)
First-principles (GGA-PBE) data for NaYTh after structural relaxation, as listed in Alexandria.

Summary:
Formation energy   0.17 eV per atom

Cell: 3.535 3.535 9.294 Å, 90.00 90.00 120.00°
Sites, in units of the cell vectors:
Y1 0.333 0.667 0.653
Na1 0.000 0.000 0.997
Th1 0.667 0.333 0.350

---

(12)
First-principles (GGA-PBE) data for Na5Pt after structural relaxation, as listed in Alexandria.

Summary:
Formation energy   0.03 eV per atom

Cell: 3.328 3.328 15.535 Å, 90.00 90.00 90.00°
Sites, in units of the cell vectors:
Na1 0.000 0.000 0.888
Na2 0.000 0.000 0.112
Na3 0.500 0.500 0.690
Na4 0.500 0.500 0.310
Na5 0.000 0.000 0.500
Pt1 0.500 0.500 0.000

---

(13)
First-principles (GGA-PBE) data for CsY2InPd after structural relaxation, as listed in Alexandria.

Summary:
Formation energy   -0.03 eV per atom

Cell: 5.586 5.373 5.586 Å, 90.00 90.00 90.00°
Sites, in units of the cell vectors:
Cs1 0.500 0.500 0.500
Y1 0.000 0.000 0.500
Y2 0.500 0.000 0.000
Pd1 0.000 0.000 0.000
In1 0.000 0.500 0.000

---

(14)
First-principles (GGA-PBE) data for Sn5Hg12As3 after structural relaxation, as listed in Alexandria.

Summary:
Formation energy   0.18 eV per atom

Cell: 14.564 14.564 14.564 Å, 109.47 109.47 109.47°
Sites, in units of the cell vectors:
As1 0.750 0.375 0.125
As2 0.875 0.750 0.125
As3 0.375 0.750 0.625
As4 0.250 0.125 0.375
As5 0.875 0.125 0.250
As6 0.375 0.625 0.250
As7 0.625 0.375 0.750
As8 0.125 0.875 0.750
As9 0.750 0.875 0.625
As10 0.625 0.250 0.375
As11 0.125 0.250 0.875
As12 0.250 0.625 0.875
Sn1 0.125 0.375 0.250
Sn2 0.000 0.500 0.000
Sn3 0.000 0.000 0.000
Sn4 0.375 0.250 0.125
Sn5 0.500 0.000 0.500
Sn6 0.500 0.500 0.000
Sn7 0.125 0.750 0.375
Sn8 0.750 0.125 0.875
Sn9 0.750 0.625 0.375
Sn10 0.375 0.125 0.750
Sn11 0.625 0.875 0.250
Sn12 0.500 0.500 0.500
Sn13 0.500 0.000 0.000
Sn14 0.000 0.000 0.500
Sn15 0.250 0.375 0.625
Sn16 0.250 0.875 0.125
Sn17 0.000 0.500 0.500
Sn18 0.875 0.250 0.625
Sn19 0.625 0.750 0.875
Sn20 0.875 0.625 0.750
Hg1 0.737 0.129 0.065
Hg2 0.327 0.565 0.436
Hg3 0.935 0.371 0.263
Hg4 0.565 0.237 0.129
Hg5 0.609 0.737 0.673
Hg6 0.935 0.564 0.173
Hg7 0.327 0.763 0.391
Hg8 0.064 0.891 0.129
Hg9 0.564 0.935 0.673
Hg10 0.737 0.609 0.173
Hg11 0.763 0.435 0.371
Hg12 0.827 0.936 0.065
Hg13 0.129 0.737 0.565
Hg14 0.371 0.436 0.109
Hg15 0.109 0.936 0.371
Hg16 0.391 0.129 0.564
Hg17 0.109 0.173 0.237
Hg18 0.435 0.673 0.064
Hg19 0.827 0.891 0.263
Hg20 0.129 0.391 0.064
Hg21 0.371 0.935 0.763
Hg22 0.564 0.629 0.391
Hg23 0.936 0.827 0.565
Hg24 0.763 0.327 0.891
Hg25 0.436 0.371 0.609
Hg26 0.064 0.173 0.435
Hg27 0.237 0.673 0.109
Hg28 0.173 0.109 0.737
Hg29 0.629 0.065 0.237
Hg30 0.871 0.609 0.936
Hg31 0.565 0.327 0.936
Hg32 0.609 0.871 0.436
Hg33 0.891 0.827 0.763
Hg34 0.891 0.064 0.629
Hg35 0.871 0.263 0.435
Hg36 0.173 0.064 0.935
Hg37 0.629 0.564 0.891
Hg38 0.436 0.065 0.327
Hg39 0.263 0.391 0.827
Hg40 0.237 0.565 0.629
Hg41 0.936 0.109 0.871
Hg42 0.673 0.237 0.609
Hg43 0.435 0.763 0.871
Hg44 0.065 0.436 0.827
Hg45 0.391 0.263 0.327
Hg46 0.065 0.629 0.737
Hg47 0.673 0.435 0.564
Hg48 0.263 0.871 0.935

---

(15)
First-principles (GGA-PBE) data for TeWSe after structural relaxation, as listed in Alexandria.

Summary:
Raw total energy   -18.47 eV/cell

Cell: 4.603 4.603 4.603 Å, 60.00 60.00 60.00°
Last column: magnetic moment on the atom in μB.
Sites, in units of the cell vectors:
Se1 0.000 0.000 0.000  -0.01
Te1 0.500 0.500 0.500  -0.02
W1 0.250 0.250 0.250  1.32

---

(16)
First-principles (GGA-PBE) data for Tb3ThIn2 after structural relaxation, as listed in Alexandria.

Summary:
Formation energy   -0.32 eV per atom

Cell: 3.607 3.607 13.113 Å, 90.00 90.00 90.00°
Sites, in units of the cell vectors:
Tb1 0.000 0.000 0.000
Tb2 0.000 0.000 0.683
Tb3 0.000 0.000 0.317
Th1 0.500 0.500 0.500
In1 0.500 0.500 0.841
In2 0.500 0.500 0.159

---

(17)
First-principles (GGA-PBE) data for CaHo2S4 after structural relaxation, as listed in Alexandria.

Summary:
Raw total energy   -169.08 eV/cell

Cell: 3.919 11.969 14.083 Å, 90.00 90.00 90.00°
Sites, in units of the cell vectors:
Ca1 0.250 0.754 0.336
Ca2 0.750 0.246 0.664
Ca3 0.250 0.254 0.164
Ca4 0.750 0.746 0.836
Ho1 0.750 0.062 0.886
Ho2 0.250 0.938 0.114
Ho3 0.750 0.562 0.614
Ho4 0.250 0.438 0.386
Ho5 0.250 0.412 0.902
Ho6 0.750 0.588 0.098
Ho7 0.250 0.912 0.598
Ho8 0.750 0.088 0.402
S1 0.750 0.092 0.077
S2 0.250 0.908 0.923
S3 0.750 0.592 0.423
S4 0.250 0.408 0.577
S5 0.750 0.963 0.716
S6 0.250 0.037 0.284
S7 0.750 0.463 0.784
S8 0.250 0.537 0.216
S9 0.750 0.370 0.036
S10 0.250 0.630 0.964
S11 0.750 0.870 0.464
S12 0.250 0.130 0.536
S13 0.250 0.203 0.819
S14 0.750 0.797 0.181
S15 0.250 0.703 0.681
S16 0.750 0.297 0.319

---

Short version: total magnetic moment = 0.00 0.00 5.89 0.00 0.00 0.00 0.00 0.00 0.00 0.00 0.00 0.00 0.00 0.00 1.71 0.01 0.00 Bohr magnetons per cell, in the order given.
Short version: ρ = 8.5 15.7 11.7 6.5 6.7 16.6 7.8 6.3 11.3 2.1 5.7 3.0 5.3 9.0 9.4 9.1 5.0 Mg/m³, in the order given.